VASP calculation (PBE-GGA) on BPb4S6 after structural relaxation.

Its density of states at the Fermi level is 3.3 states/eV/f.u. As for the space group: Cc.

```
data_BPb4S6
_space_group_name_H-M_alt 'P 1'
_space_group_IT_number 1
_cell_length_a 8.184
_cell_length_b 8.184
_cell_length_c 13.192
_cell_angle_alpha 116.45
_cell_angle_beta 116.45
_cell_angle_gamma 53.50
loop_
_space_group_symop_operation_xyz
'x,y,z'
loop_
_atom_site_label
_atom_site_fract_x
_atom_site_fract_y
_atom_site_fract_z
B1 0.228 0.772 0.500
B2 0.772 0.228 0.000
Pb1 0.083 0.764 0.752
Pb2 0.163 0.361 0.214
Pb3 0.354 0.700 0.094
Pb4 0.361 0.163 0.714
Pb5 0.700 0.354 0.594
Pb6 0.710 0.729 0.424
Pb7 0.729 0.710 0.924
Pb8 0.764 0.083 0.252
S1 0.014 0.707 0.129
S2 0.042 0.046 0.469
S3 0.046 0.042 0.969
S4 0.133 0.572 0.446
S5 0.342 0.810 0.668
S6 0.450 0.591 0.415
S7 0.506 0.966 0.275
S8 0.572 0.133 0.946
S9 0.591 0.450 0.915
S10 0.707 0.014 0.629
S11 0.810 0.342 0.168
S12 0.966 0.506 0.775
```

=====

VASP calculation (PBE-GGA) on BPbS2 after structural relaxation.

The value obtained for the energy above the most stable polymorph in this dataset is 201 meV per atom. Its density of states at the Fermi level is 0.5 states/eV/f.u. As for the space group: I-42d.

```
data_BPbS2
_space_group_name_H-M_alt 'P 1'
_space_group_IT_number 1
_cell_length_a 5.990
_cell_length_b 5.990
_cell_length_c 5.990
_cell_angle_alpha 118.78
_cell_angle_beta 118.78
_cell_angle_gamma 92.13
loop_
_space_group_symop_operation_xyz
'x,y,z'
loop_
_atom_site_label
_atom_site_fract_x
_atom_site_fract_y
_atom_site_fract_z
B1 0.000 0.000 0.000
B2 0.750 0.250 0.500
Pb1 0.250 0.750 0.500
Pb2 0.500 0.500 0.000
S1 0.375 0.240 0.365
S2 0.760 0.125 0.135
S3 0.875 0.010 0.635
S4 0.990 0.625 0.865
```

=====

VASP calculation (PBE-GGA) on B2PbS4 after structural relaxation.

The value obtained for the energy above the most stable polymorph in this dataset is 0 meV per atom. Its density of states at the Fermi level is 0.0 states/eV/f.u. As for the space group: Cccm.

```
data_B2PbS4
_space_group_name_H-M_alt 'P 1'
_space_group_IT_number 1
_cell_length_a 5.781
_cell_length_b 5.781
_cell_length_c 10.343
_cell_angle_alpha 90.00
_cell_angle_beta 90.00
_cell_angle_gamma 126.70
loop_
_space_group_symop_operation_xyz
'x,y,z'
loop_
_atom_site_label
_atom_site_fract_x
_atom_site_fract_y
_atom_site_fract_z
B1 0.246 0.754 0.000
B2 0.246 0.754 0.500
B3 0.754 0.246 0.000
B4 0.754 0.246 0.500
Pb1 0.500 0.500 0.250
Pb2 0.500 0.500 0.750
S1 0.000 0.500 0.361
S2 0.000 0.500 0.639
S3 0.145 0.367 0.000
S4 0.367 0.145 0.500
S5 0.500 0.000 0.139
S6 0.500 0.000 0.861
S7 0.633 0.855 0.500
S8 0.855 0.633 0.000
```

=====

VASP calculation (PBE-GGA) on BPbS after structural relaxation.

Its density of states at the Fermi level is 0.5 states/eV/f.u. As for the space group: Pnma.

```
data_BPbS
_space_group_name_H-M_alt 'P 1'
_space_group_IT_number 1
_cell_length_a 9.989
_cell_length_b 3.347
_cell_length_c 7.259
_cell_angle_alpha 90.00
_cell_angle_beta 90.00
_cell_angle_gamma 90.00
loop_
_space_group_symop_operation_xyz
'x,y,z'
loop_
_atom_site_label
_atom_site_fract_x
_atom_site_fract_y
_atom_site_fract_z
B1 0.027 0.250 0.035
B2 0.473 0.750 0.535
B3 0.527 0.250 0.465
B4 0.973 0.750 0.965
Pb1 0.115 0.250 0.686
Pb2 0.385 0.750 0.186
Pb3 0.615 0.250 0.814
Pb4 0.885 0.750 0.314
S1 0.155 0.250 0.226
S2 0.345 0.750 0.726
S3 0.655 0.250 0.274
S4 0.845 0.750 0.774
```

=====

VASP calculation (PBE-GGA) on BPbS3 after structural relaxation.

The value obtained for the energy above the most stable polymorph in this dataset is 1925 meV per atom. Its density of states at the Fermi level is 4.3 states/eV/f.u. As for the space group: Pm-3m.

```
data_BPbS3
_space_group_name_H-M_alt 'P 1'
_space_group_IT_number 1
_cell_length_a 5.178
_cell_length_b 5.178
_cell_length_c 5.178
_cell_angle_alpha 90.00
_cell_angle_beta 90.00
_cell_angle_gamma 90.00
loop_
_space_group_symop_operation_xyz
'x,y,z'
loop_
_atom_site_label
_atom_site_fract_x
_atom_site_fract_y
_atom_site_fract_z
B1 0.000 0.000 0.000
Pb1 0.500 0.500 0.500
S1 0.000 0.500 0.500
S2 0.500 0.000 0.500
S3 0.500 0.500 0.000
```

=====

VASP calculation (PBE-GGA) on B2PbS4 after structural relaxation.

The value obtained for the energy above the most stable polymorph in this dataset is 226 meV per atom. Its density of states at the Fermi level is 0.0 states/eV/f.u. As for the space group: P-1.

```
data_B2PbS4
_space_group_name_H-M_alt 'P 1'
_space_group_IT_number 1
_cell_length_a 6.718
_cell_length_b 7.773
_cell_length_c 8.826
_cell_angle_alpha 89.82
_cell_angle_beta 67.67
_cell_angle_gamma 89.43
loop_
_space_group_symop_operation_xyz
'x,y,z'
loop_
_atom_site_label
_atom_site_fract_x
_atom_site_fract_y
_atom_site_fract_z
B1 0.000 0.000 0.000
B2 0.000 0.000 0.500
B3 0.000 0.500 0.000
B4 0.500 0.500 0.500
Pb1 0.415 0.750 0.169
Pb2 0.585 0.250 0.831
S1 0.177 0.442 0.084
S2 0.261 0.942 0.916
S3 0.269 0.011 0.419
S4 0.311 0.491 0.420
S5 0.689 0.509 0.580
S6 0.731 0.989 0.581
S7 0.739 0.058 0.084
S8 0.823 0.558 0.916
```

=====

VASP calculation (PBE-GGA) on BPbS3 after structural relaxation.

The value obtained for the energy above the most stable polymorph in this dataset is 0 meV per atom. Its density of states at the Fermi level is 0.0 states/eV/f.u. As for the space group: P2_1/c.

```
data_BPbS3
_space_group_name_H-M_alt 'P 1'
_space_group_IT_number 1
_cell_length_a 8.350
_cell_length_b 6.448
_cell_length_c 11.160
_cell_angle_alpha 90.00
_cell_angle_beta 130.75
_cell_angle_gamma 90.00
loop_
_space_group_symop_operation_xyz
'x,y,z'
loop_
_atom_site_label
_atom_site_fract_x
_atom_site_fract_y
_atom_site_fract_z
B1 0.093 0.155 0.086
B2 0.093 0.345 0.586
B3 0.907 0.655 0.414
B4 0.907 0.845 0.914
Pb1 0.376 0.738 0.308
Pb2 0.376 0.762 0.808
Pb3 0.624 0.238 0.192
Pb4 0.624 0.262 0.692
S1 0.064 0.057 0.907
S2 0.064 0.443 0.407
S3 0.079 0.601 0.980
S4 0.079 0.899 0.480
S5 0.376 0.185 0.279
S6 0.376 0.315 0.779
S7 0.624 0.685 0.221
S8 0.624 0.815 0.721
S9 0.921 0.101 0.520
S10 0.921 0.399 0.020
S11 0.936 0.557 0.593
S12 0.936 0.943 0.093
```

=====

VASP calculation (PBE-GGA) on BSbPbS4 after structural relaxation.

Its density of states at the Fermi level is 0.0 states/eV/f.u. As for the space group: P2_1.

```
data_BSbPbS4
_space_group_name_H-M_alt 'P 1'
_space_group_IT_number 1
_cell_length_a 6.540
_cell_length_b 6.288
_cell_length_c 9.343
_cell_angle_alpha 90.00
_cell_angle_beta 105.27
_cell_angle_gamma 90.00
loop_
_space_group_symop_operation_xyz
'x,y,z'
loop_
_atom_site_label
_atom_site_fract_x
_atom_site_fract_y
_atom_site_fract_z
B1 0.175 0.000 0.211
B2 0.825 0.500 0.789
Sb1 0.296 0.490 0.165
Sb2 0.704 0.990 0.835
Pb1 0.293 0.434 0.579
Pb2 0.707 0.934 0.421
S1 0.040 0.756 0.232
S2 0.041 0.243 0.243
S3 0.416 0.013 0.151
S4 0.425 0.005 0.597
S5 0.575 0.505 0.403
S6 0.584 0.513 0.849
S7 0.959 0.743 0.757
S8 0.960 0.256 0.768
```

=====

VASP calculation (PBE-GGA) on BSbPb2S5 after structural relaxation.

As for the space group: Cmc2_1.

```
data_BSbPb2S5
_space_group_name_H-M_alt 'P 1'
_space_group_IT_number 1
_cell_length_a 8.924
_cell_length_b 8.924
_cell_length_c 12.727
_cell_angle_alpha 90.00
_cell_angle_beta 90.00
_cell_angle_gamma 155.57
loop_
_space_group_symop_operation_xyz
'x,y,z'
loop_
_atom_site_label
_atom_site_fract_x
_atom_site_fract_y
_atom_site_fract_z
B1 0.054 0.946 0.500
B2 0.946 0.054 0.000
Sb1 0.309 0.691 0.140
Sb2 0.691 0.309 0.640
Pb1 0.376 0.624 0.787
Pb2 0.386 0.614 0.449
Pb3 0.614 0.386 0.949
Pb4 0.624 0.376 0.287
S1 0.001 0.999 0.875
S2 0.161 0.839 0.477
S3 0.164 0.836 0.116
S4 0.204 0.796 0.785
S5 0.478 0.522 0.083
S6 0.522 0.478 0.583
S7 0.796 0.204 0.285
S8 0.836 0.164 0.616
S9 0.839 0.161 0.977
S10 0.999 0.001 0.375
```

=====

VASP calculation (PBE-GGA) on SnBPb2S5 after structural relaxation.

Its density of states at the Fermi level is 2.8 states/eV/f.u. As for the space group: Cmc2_1.

```
data_SnBPb2S5
_space_group_name_H-M_alt 'P 1'
_space_group_IT_number 1
_cell_length_a 8.941
_cell_length_b 8.941
_cell_length_c 12.669
_cell_angle_alpha 90.00
_cell_angle_beta 90.00
_cell_angle_gamma 155.93
loop_
_space_group_symop_operation_xyz
'x,y,z'
loop_
_atom_site_label
_atom_site_fract_x
_atom_site_fract_y
_atom_site_fract_z
Sn1 0.189 0.811 0.500
Sn2 0.811 0.189 0.000
B1 0.442 0.558 0.866
B2 0.558 0.442 0.366
Pb1 0.111 0.889 0.808
Pb2 0.133 0.867 0.144
Pb3 0.867 0.133 0.644
Pb4 0.889 0.111 0.308
S1 0.031 0.969 0.452
S2 0.303 0.697 0.148
S3 0.335 0.665 0.844
S4 0.338 0.662 0.477
S5 0.496 0.504 0.740
S6 0.504 0.496 0.240
S7 0.662 0.338 0.977
S8 0.665 0.335 0.344
S9 0.697 0.303 0.648
S10 0.969 0.031 0.952
```

=====

VASP calculation (PBE-GGA) on B2SbPb after structural relaxation.

The value obtained for the energy above the most stable polymorph in this dataset is 0 meV per atom. Its density of states at the Fermi level is 2.4 states/eV/f.u. As for the space group: I-42d.

```
data_B2SbPb
_space_group_name_H-M_alt 'P 1'
_space_group_IT_number 1
_cell_length_a 6.564
_cell_length_b 6.564
_cell_length_c 6.564
_cell_angle_alpha 131.25
_cell_angle_beta 131.25
_cell_angle_gamma 71.42
loop_
_space_group_symop_operation_xyz
'x,y,z'
loop_
_atom_site_label
_atom_site_fract_x
_atom_site_fract_y
_atom_site_fract_z
B1 0.108 0.625 0.983
B2 0.375 0.358 0.483
B3 0.642 0.125 0.017
B4 0.875 0.892 0.517
Sb1 0.000 0.000 0.000
Sb2 0.750 0.250 0.500
Pb1 0.250 0.750 0.500
Pb2 0.500 0.500 0.000
```

=====

no.,energy (eV/atom),density (g/cm3),formation energy (no corrections) (eV per formula unit)
1,-4.58,5.57,-4.2
2,-4.68,6.06,-0.1
3,-5.26,4.28,-3.3
4,-4.81,6.84,0.1
5,-3.03,3.76,7.6
6,-5.03,2.78,-1.7
7,-4.95,4.58,-2.0
8,-4.85,4.19,-2.9
9,-4.65,5.60,-3.0
10,-4.66,5.66,-3.2
11,-4.53,7.44,3.1